YTlPdO2 | meta-GGA SCAN | single point on PBEsol structure

Properties
uncorrected energy	-151.209	eV for the cell shown
calculated volume	98.24	Å³ per cell
raw formation energy	-1.154	eV per atom

Cell lengths 4.205, 4.205, 5.556 Å; angles 90.00, 90.00, 90.00 degrees
Sites, in units of the cell vectors:
1 Y 0.000 0.000 0.000
2 Tl 0.500 0.500 0.500
3 Pd 0.000 0.000 0.500
4 O 0.000 0.500 0.000
5 O 0.500 0.000 0.000